The following is a DFT calculation (PBE) of crystalline Y2N2O at its relaxed geometry.

Calculated values
Its total magnetization is 0.00 μB/cell. The value obtained for the formation energy from raw total energies is -1.290 eV per atom. Its final energy is -8.20 eV per atom.

Cell: 4.3614 4.3614 6.9336 Å, 90.00 90.00 90.00°
Space group I4/mmm (No. 139)
Inequivalent atoms, fractional coordinates:
Y 0.0000 0.5000 0.2500 x4
N 0.0000 0.0000 0.1074 x4
O 0.0000 0.0000 0.5000 x2

***

The following is a DFT calculation (PBE) of crystalline Y3N2O at its relaxed geometry.

Calculated values
Its total magnetization is 0.00 μB/cell. The value obtained for the formation energy from raw total energies is -2.145 eV per atom. Its final energy is -8.98 eV per atom.

Cell: 6.9024 4.8966 10.3573 Å, 90.00 90.00 90.00°
Space group Pnma (No. 62)
Inequivalent atoms, fractional coordinates:
Y 0.1214 0.2500 0.0857 x4
Y 0.1249 0.2500 0.7493 x4
Y 0.1290 0.2500 0.4139 x4
N 0.1246 0.7500 0.7503 x4
N 0.1285 0.7500 0.0832 x4
O 0.1235 0.7500 0.4155 x4

***

The following is a DFT calculation (PBE) of crystalline Y2N2O at its relaxed geometry.

Calculated values
Its total magnetization is 0.00 μB/cell. The value obtained for the formation energy from raw total energies is -0.941 eV per atom. Its final energy is -7.85 eV per atom.

Cell: 6.4935 6.4935 3.1407 Å, 90.00 90.00 90.00°
Space group P4/mbm (No. 127)
Inequivalent atoms, fractional coordinates:
Y 0.1697 0.3303 0.0000 x4
N 0.1499 0.6499 0.5000 x4
O 0.0000 0.0000 0.5000 x2

***

The following is a DFT calculation (PBE) of crystalline YZnN2O at its relaxed geometry.

Calculated values
Its total magnetization is 3.34 μB/cell. The value obtained for the formation energy from raw total energies is 0.543 eV per atom. Its final energy is -5.33 eV per atom.

Cell: 4.6007 4.6007 4.3042 Å, 90.00 90.00 90.00°
Space group P4/mmm (No. 123)
Inequivalent atoms, fractional coordinates:
Y 0.0000 0.0000 0.0000 x1
Zn 0.5000 0.5000 0.5000 x1
N 0.0000 0.5000 0.0000 x2
O 0.0000 0.0000 0.5000 x1